## Na4B4Sb2SO16 (GGA-PBE)

Data for crystalline Na4B4Sb2SO16 at its relaxed geometry.

It has space group Fddd (No. 70, origin choice 2), with a = 13.947 Å, b = 14.043 Å, c = 14.462 Å, α = 90.00°, β = 90.00° and γ = 90.00°. Symmetry generates all atoms from Na at (0.082, 0.375, 0.375), Na at (0.125, 0.331, 0.125), B at (0.036, 0.038, 0.709), Sb at (0.000, 0.000, 0.500), S at (0.125, 0.125, 0.125), O at (0.018, 0.111, 0.771), O at (0.024, 0.275, 0.884), O at (0.062, 0.063, 0.067) and O at (0.110, 0.276, 0.524).

The density is 3.13 g cm⁻³. The value obtained for the total energy is -175.3 eV/f.u.

***

## Na6B4Sb2SO16 (GGA-PBE)

Data for crystalline Na6B4Sb2SO16 at its relaxed geometry.

It has space group Fd-3 (No. 203, origin choice 2), with a = 14.343 Å, b = 14.343 Å, c = 14.343 Å, α = 90.00°, β = 90.00° and γ = 90.00°. Symmetry generates all atoms from Na at (0.087, 0.375, 0.375), B at (0.032, 0.032, 0.718), Sb at (0.000, 0.000, 0.500), S at (0.125, 0.125, 0.125), O at (0.019, 0.104, 0.782) and O at (0.065, 0.065, 0.065).

The density is 3.21 g cm⁻³. The value obtained for the total energy is -182.1 eV/f.u.

***

What did the first record say?
## Na4B4Sb2SO16 (GGA-PBE)

Data for crystalline Na4B4Sb2SO16 at its relaxed geometry.

It has space group Fddd (No. 70, origin choice 2), with a = 13.947 Å, b = 14.043 Å, c = 14.462 Å, α = 90.00°, β = 90.00° and γ = 90.00°. Symmetry generates all atoms from Na at (0.082, 0.375, 0.375), Na at (0.125, 0.331, 0.125), B at (0.036, 0.038, 0.709), Sb at (0.000, 0.000, 0.500), S at (0.125, 0.125, 0.125), O at (0.018, 0.111, 0.771), O at (0.024, 0.275, 0.884), O at (0.062, 0.063, 0.067) and O at (0.110, 0.276, 0.524).

The density is 3.13 g cm⁻³. The value obtained for the total energy is -175.3 eV/f.u.